1.
First-principles (PBE-GGA) data for CoSb2Pt2 after structural relaxation, as listed in Alexandria via LeMat-Bulk.

Magnetic moment (μB per atom): 0.21
Calculated total energy (eV per atom): -5.347
Raw formation energy (eV per atom): 0.14

a = 7.0908 Å, b = 7.0908 Å, c = 3.7672 Å
α = 90.00°, β = 90.00°, γ = 90.00°
With the nearest neighbours (Å) after each atom.
Space group P4/mbm (No. 127)
Unique sites:
Co 0.0000 0.0000 0.0000 [2 per cell]  4 Sb 2.64
Sb 0.1673 0.3327 0.0000 [4 per cell]  2 Co 2.64, 6 Pt 2.70-2.88
Pt 0.1395 0.6395 0.5000 [4 per cell]  6 Sb 2.70-2.88, 1 Pt 2.80

***

2.
First-principles (PBE-GGA) data for RuRh2S after structural relaxation, as listed in Alexandria via LeMat-Bulk.

Magnetic moment (μB per atom): 0.00
Calculated total energy (eV per atom): -6.506
Raw formation energy (eV per atom): 0.52

a = 5.5877 Å, b = 5.5877 Å, c = 9.9399 Å
α = 90.00°, β = 90.00°, γ = 90.00°
With the nearest neighbours (Å) after each atom.
Space group I-42d (No. 122)
Unique sites:
Ru 0.0000 0.0000 0.0000 [4 per cell]  4 Rh 2.40
Rh 0.2295 0.2500 0.6250 [8 per cell]  2 S 2.27, 2 Ru 2.40
S 0.0000 0.0000 0.5000 [4 per cell]  4 Rh 2.27

***

3.
First-principles (PBE-GGA) data for KCuOs after structural relaxation, as listed in Alexandria via LeMat-Bulk.

Magnetic moment (μB per atom): 0.87
Calculated total energy (eV per atom): -2.872
Formation energy (meV per atom): 2603

a = 6.8169 Å, b = 6.8169 Å, c = 6.8169 Å
α = 90.00°, β = 90.00°, γ = 90.00°
With the nearest neighbours (Å) after each atom.
Space group F-43m (No. 216)
Unique sites:
K 0.0000 0.0000 0.0000 [4 per cell]  4 Os 2.95, 4 Cu 2.95
Cu 0.2500 0.2500 0.7500 [4 per cell]  4 K 2.95
Os 0.2500 0.2500 0.2500 [4 per cell]  4 K 2.95

***

4.
First-principles (PBE-GGA) data for Pm4Pr6Dy after structural relaxation, as listed in Alexandria via LeMat-Bulk.

Magnetic moment (μB per atom): 0.00
Calculated total energy (eV per atom): -4.477
Formation energy (meV per atom): 276

a = 6.8692 Å, b = 6.8692 Å, c = 16.8560 Å
α = 90.00°, β = 90.00°, γ = 90.00°
With the nearest neighbours (Å) after each atom.
Space group I-42m (No. 121)
Unique sites:
Pm 0.1737 0.1737 0.3820 [8 per cell]  5 Pr 3.23-3.60, 1 Pm 3.37
Pr 0.0000 0.5000 0.0000 [4 per cell]  4 Pm 3.23, 2 Dy 3.43
Pr 0.1896 0.1896 0.1779 [8 per cell]  5 Pm 3.44-3.80, 1 Dy 3.52, 1 Pr 3.68
Dy 0.0000 0.0000 0.0000 [2 per cell]  8 Pr 3.43-3.52, 4 Pm 3.74

***

5.
First-principles (PBE-GGA) data for CuSiPt after structural relaxation, as listed in Alexandria via LeMat-Bulk.

Magnetic moment (μB per atom): 0.00
Calculated total energy (eV per atom): -5.562
Raw formation energy (eV per atom): -0.38

a = 5.6503 Å, b = 5.6503 Å, c = 5.6503 Å
α = 90.00°, β = 90.00°, γ = 90.00°
With the nearest neighbours (Å) after each atom.
Space group F-43m (No. 216)
Unique sites:
Cu 0.0000 0.0000 0.0000 [4 per cell]  4 Si 2.45
Si 0.2500 0.2500 0.7500 [4 per cell]  4 Pt 2.45, 4 Cu 2.45
Pt 0.0000 0.0000 0.5000 [4 per cell]  4 Si 2.45

***

6.
First-principles (PBE-GGA) data for SrOs3Cl after structural relaxation, as listed in Alexandria via LeMat-Bulk.

Magnetic moment (μB per atom): 1.39
Calculated total energy (eV per atom): -3.733
Raw formation energy (eV per atom): 3.71

a = 5.1381 Å, b = 5.1381 Å, c = 5.1381 Å
α = 90.00°, β = 90.00°, γ = 90.00°
With the nearest neighbours (Å) after each atom.
Space group Pm-3m (No. 221)
Unique sites:
Sr 0.0000 0.0000 0.0000 [1 per cell]  6 Os 2.57
Os 0.0000 0.0000 0.5000 [3 per cell]  2 Sr 2.57
Cl 0.5000 0.5000 0.5000 [1 per cell]  12 Os 3.63

***

7.
First-principles (PBE-GGA) data for Ac5LaPm after structural relaxation, as listed in Alexandria via LeMat-Bulk.

Magnetic moment (μB per atom): 0.00
Calculated total energy (eV per atom): -4.115
Formation energy (meV per atom): 202

a = 12.8936 Å, b = 7.4537 Å, c = 13.6486 Å
α = 90.00°, β = 112.17°, γ = 90.00°
With the nearest neighbours (Å) after each atom.
Space group C2/c (No. 15)
Unique sites:
Ac 0.0000 0.1093 0.2500 [4 per cell]  1 La 3.30, 2 Ac 3.42
Ac 0.0746 0.2327 0.9960 [8 per cell]  1 La 3.51, 1 Ac 3.70
Ac 0.2266 0.1187 0.7418 [8 per cell]  4 Ac 3.42-3.77, 1 Pm 3.56, 1 La 3.71
La 0.0000 0.4484 0.7500 [4 per cell]  3 Ac 3.30-3.51
Pm 0.2500 0.2500 0.5000 [4 per cell]  4 Ac 3.56-3.85

***

8.
First-principles (PBE-GGA) data for CsAg2Au2 after structural relaxation, as listed in Alexandria via LeMat-Bulk.

Magnetic moment (μB per atom): 0.00
Calculated total energy (eV per atom): -2.544
Formation energy (meV per atom): 78

a = 8.5912 Å, b = 8.5912 Å, c = 3.1952 Å
α = 90.00°, β = 90.00°, γ = 90.00°
With the nearest neighbours (Å) after each atom.
Space group P4/mbm (No. 127)
Unique sites:
Cs 0.0000 0.0000 0.0000 [2 per cell]  2 Cs 3.20, 4 Au 3.41, 8 Ag 3.57
Ag 0.1695 0.3305 0.5000 [4 per cell]  6 Au 2.99-3.00, 2 Ag 3.20
Au 0.1224 0.6224 0.0000 [4 per cell]  3 Au 2.97-3.20, 6 Ag 2.99-3.00

***

9.
First-principles (PBE-GGA) data for La2Cd2In after structural relaxation, as listed in Alexandria via LeMat-Bulk.

Magnetic moment (μB per atom): 0.00
Calculated total energy (eV per atom): -3.059
Formation energy (meV per atom): -174

a = 4.0013 Å, b = 4.0013 Å, c = 19.6241 Å
α = 90.00°, β = 90.00°, γ = 90.00°
With the nearest neighbours (Å) after each atom.
Space group I4/mmm (No. 139)
Unique sites:
La 0.0000 0.0000 0.1001 [4 per cell]  4 In 3.44, 4 Cd 3.56
Cd 0.0000 0.5000 0.2500 [4 per cell]  4 Cd 2.83
In 0.0000 0.0000 0.5000 [2 per cell]  8 La 3.44

***

10.
First-principles (PBE-GGA) data for SrTaTl after structural relaxation, as listed in Alexandria via LeMat-Bulk.

Magnetic moment (μB per atom): 0.09
Calculated total energy (eV per atom): -4.711
Formation energy (meV per atom): 590

a = 3.1597 Å, b = 3.1597 Å, c = 15.3298 Å
α = 90.00°, β = 90.00°, γ = 90.00°
With the nearest neighbours (Å) after each atom.
Space group I4mm (No. 107)
Unique sites:
Sr 0.0000 0.0000 0.0000 [2 per cell]  4 Sr 3.16, 4 Ta 3.51, 4 Tl 3.52
Ta 0.0000 0.0000 0.6769 [2 per cell]  4 Tl 3.16, 4 Ta 3.16, 4 Sr 3.51
Tl 0.0000 0.0000 0.3223 [2 per cell]  4 Ta 3.16, 4 Tl 3.16, 4 Sr 3.52

***

11.
First-principles (PBE-GGA) data for NbNiB after structural relaxation, as listed in Alexandria via LeMat-Bulk.

Magnetic moment (μB per atom): 0.00
Calculated total energy (eV per atom): -7.769
Formation energy (meV per atom): -260

a = 8.7453 Å, b = 3.0345 Å, c = 5.9585 Å
α = 90.00°, β = 115.23°, γ = 90.00°
With the nearest neighbours (Å) after each atom.
Space group Cm (No. 8)
Unique sites:
Nb 0.0000 0.0000 0.0000 [2 per cell]  3 B 2.40-2.45, 3 Ni 2.43-2.48
Nb 0.1635 0.0000 0.5702 [2 per cell]  6 B 2.40-2.55, 2 Ni 2.64
Ni 0.2109 0.5000 0.9579 [2 per cell]  1 B 2.09
Ni 0.3726 0.0000 0.2937 [2 per cell]  3 B 2.03-2.14
B 0.3686 0.5000 0.5455 [2 per cell]  2 B 1.75
B 0.4666 0.0000 0.6699 [2 per cell]  2 B 1.75

***

12.
First-principles (PBE-GGA) data for Th4OsC2 after structural relaxation, as listed in Alexandria via LeMat-Bulk.

Magnetic moment (μB per atom): 0.00
Calculated total energy (eV per atom): -8.751
Formation energy (meV per atom): -271

a = 3.8075 Å, b = 12.3787 Å, c = 13.1987 Å
α = 90.00°, β = 90.00°, γ = 90.00°
With the nearest neighbours (Å) after each atom.
Space group Cmcm (No. 63)
Unique sites:
Th 0.0000 0.0000 0.0000 [4 per cell]  4 C 2.65
Th 0.0000 0.2758 0.1120 [8 per cell]  3 C 2.55-2.67
Th 0.0000 0.4389 0.7500 [4 per cell]  2 C 2.64, 2 Os 2.84
Os 0.0000 0.1095 0.7500 [4 per cell]  6 Th 2.84-2.99
C 0.0000 0.3661 0.5617 [8 per cell]  6 Th 2.55-2.67

***

13.
First-principles (PBE-GGA) data for NdEuCoNi after structural relaxation, as listed in Alexandria via LeMat-Bulk.

Magnetic moment (μB per atom): 1.59
Calculated total energy (eV per atom): -6.944
Formation energy (meV per atom): 39

a = 6.9431 Å, b = 6.9431 Å, c = 6.9431 Å
α = 90.00°, β = 90.00°, γ = 90.00°
With the nearest neighbours (Å) after each atom.
Space group F-43m (No. 216)
Unique sites:
Nd 0.0000 0.0000 0.0000 [4 per cell]  4 Ni 3.01, 4 Co 3.01
Eu 0.0000 0.0000 0.5000 [4 per cell]  4 Co 3.01, 4 Ni 3.01
Co 0.2500 0.2500 0.7500 [4 per cell]  4 Nd 3.01, 4 Eu 3.01
Ni 0.2500 0.2500 0.2500 [4 per cell]  4 Eu 3.01, 4 Nd 3.01

***

14.
First-principles (PBE-GGA) data for CsAgPd after structural relaxation, as listed in Alexandria via LeMat-Bulk.

Magnetic moment (μB per atom): 0.00
Calculated total energy (eV per atom): -2.824
Formation energy (meV per atom): 142

a = 3.8286 Å, b = 3.8286 Å, c = 12.2807 Å
α = 90.00°, β = 90.00°, γ = 90.00°
With the nearest neighbours (Å) after each atom.
Space group I4mm (No. 107)
Unique sites:
Cs 0.0000 0.0000 0.0000 [2 per cell]  1 Pd 3.30, 1 Ag 3.34
Ag 0.0000 0.0000 0.7282 [2 per cell]  4 Pd 2.75
Pd 0.0000 0.0000 0.2688 [2 per cell]  4 Ag 2.75

***

15.
First-principles (PBE-GGA) data for Nd3CuB2Pt9 after structural relaxation, as listed in Alexandria via LeMat-Bulk.

Magnetic moment (μB per atom): 0.00
Calculated total energy (eV per atom): -6.500
Formation energy (meV per atom): -759

a = 5.7926 Å, b = 5.7926 Å, c = 9.2869 Å
α = 90.00°, β = 90.00°, γ = 120.00°
With the nearest neighbours (Å) after each atom.
Space group P-3m1 (No. 164)
Unique sites:
Nd 0.0000 0.0000 0.0000 [1 per cell]  12 Pt 2.90-3.14
Nd 0.3333 0.6667 0.6024 [2 per cell]  9 Pt 3.07-3.38
Cu 0.0000 0.0000 0.5000 [1 per cell]  6 Pt 2.57
B 0.3333 0.6667 0.1513 [2 per cell]  6 Pt 2.12-2.18
Pt 0.0000 0.5000 0.0000 [3 per cell]  2 B 2.18
Pt 0.1645 0.3291 0.2878 [6 per cell]  1 B 2.12

***

16.
First-principles (PBE-GGA) data for BaNb3Sb after structural relaxation, as listed in Alexandria via LeMat-Bulk.

Magnetic moment (μB per atom): 0.00
Calculated total energy (eV per atom): -4.892
Raw formation energy (eV per atom): 2.36

a = 5.1149 Å, b = 5.1149 Å, c = 5.1149 Å
α = 90.00°, β = 90.00°, γ = 90.00°
With the nearest neighbours (Å) after each atom.
Space group Pm-3m (No. 221)
Unique sites:
Ba 0.0000 0.0000 0.0000 [1 per cell]  6 Nb 2.56
Nb 0.0000 0.0000 0.5000 [3 per cell]  2 Ba 2.56
Sb 0.5000 0.5000 0.5000 [1 per cell]  12 Nb 3.62

***

17.
First-principles (PBE-GGA) data for ZrSc2Co after structural relaxation, as listed in Alexandria via LeMat-Bulk.

Magnetic moment (μB per atom): 0.00
Calculated total energy (eV per atom): -6.990
Formation energy (meV per atom): 89

a = 7.6269 Å, b = 7.6269 Å, c = 5.6159 Å
α = 90.00°, β = 90.00°, γ = 90.00°
With the nearest neighbours (Å) after each atom.
Space group I-42d (No. 122)
Unique sites:
Zr 0.0000 0.0000 0.0000 [4 per cell]  2 Co 2.81
Sc 0.1810 0.2500 0.6250 [8 per cell]  2 Co 2.46
Co 0.0000 0.0000 0.5000 [4 per cell]  4 Sc 2.46

***

18.
First-principles (PBE-GGA) data for LaPmNd2In4 after structural relaxation, as listed in Alexandria via LeMat-Bulk.

Magnetic moment (μB per atom): 0.00
Calculated total energy (eV per atom): -4.268
Formation energy (meV per atom): -497

a = 5.4958 Å, b = 5.4958 Å, c = 26.9753 Å
α = 90.00°, β = 90.00°, γ = 120.00°
With the nearest neighbours (Å) after each atom.
Space group R-3m (No. 166, hexagonal axes)
Unique sites:
La 0.0000 0.0000 0.0000 [3 per cell]  8 In 3.38-3.40
Pm 0.0000 0.0000 0.5000 [3 per cell]  8 In 3.34-3.36
Nd 0.0000 0.0000 0.2498 [6 per cell]  8 In 3.34-3.41
In 0.0000 0.0000 0.1261 [6 per cell]  4 Nd 3.34-3.38, 3 Pm 3.36, 1 La 3.40
In 0.0000 0.0000 0.3761 [6 per cell]  1 Pm 3.34, 4 Nd 3.36-3.41, 3 La 3.38

***

19.
First-principles (PBE-GGA) data for AlRh2Pb after structural relaxation, as listed in Alexandria via LeMat-Bulk.

Magnetic moment (μB per atom): 0.00
Calculated total energy (eV per atom): -5.462
Formation energy (meV per atom): 77

a = 3.1186 Å, b = 3.1186 Å, c = 25.7492 Å
α = 90.00°, β = 90.00°, γ = 120.00°
With the nearest neighbours (Å) after each atom.
Space group R3m (No. 160, hexagonal axes)
Unique sites:
Al 0.0000 0.0000 0.0000 [3 per cell]  3 Rh 2.44
Rh 0.0000 0.0000 0.2693 [3 per cell]  3 Al 2.44
Rh 0.0000 0.0000 0.5185 [3 per cell]  3 Pb 2.79, 9 Rh 2.82-3.12
Pb 0.0000 0.0000 0.7689 [3 per cell]  3 Rh 2.79, 6 Pb 3.12

***

20.
First-principles (PBE-GGA) data for Pr2HoPd3 after structural relaxation, as listed in Alexandria via LeMat-Bulk.

Magnetic moment (μB per atom): 0.00
Calculated total energy (eV per atom): -5.637
Formation energy (meV per atom): -684

a = 13.1825 Å, b = 5.9147 Å, c = 8.3926 Å
α = 90.00°, β = 108.59°, γ = 90.00°
With the nearest neighbours (Å) after each atom.
Space group C2/c (No. 15)
Unique sites:
Pr 0.1682 0.0017 0.0842 [8 per cell]  6 Pd 2.96-3.03
Ho 0.0000 0.4923 0.2500 [4 per cell]  6 Pd 2.87-2.96
Pd 0.0000 0.0079 0.7500 [4 per cell]  2 Ho 2.96, 4 Pr 2.97
Pd 0.1572 0.4983 0.5785 [8 per cell]  2 Ho 2.87-2.88, 4 Pr 2.96-3.03

***

21.
First-principles (PBE-GGA) data for CdTcPb2 after structural relaxation, as listed in Alexandria via LeMat-Bulk.

Magnetic moment (μB per atom): 0.40
Calculated total energy (eV per atom): -4.050
Formation energy (meV per atom): 624

a = 5.0838 Å, b = 5.0838 Å, c = 3.5558 Å
α = 90.00°, β = 90.00°, γ = 90.00°
With the nearest neighbours (Å) after each atom.
Space group P4/mmm (No. 123)
Unique sites:
Cd 0.0000 0.0000 0.0000 [1 per cell]  8 Pb 3.10
Tc 0.5000 0.5000 0.0000 [1 per cell]  8 Pb 3.10
Pb 0.0000 0.5000 0.5000 [2 per cell]  4 Cd 3.10, 4 Tc 3.10

***

22.
First-principles (PBE-GGA) data for LiAc6Ru2 after structural relaxation, as listed in Alexandria via LeMat-Bulk.

Magnetic moment (μB per atom): 0.00
Calculated total energy (eV per atom): -5.005
Formation energy (meV per atom): 8

a = 11.0398 Å, b = 5.6995 Å, c = 9.6620 Å
α = 90.00°, β = 99.47°, γ = 90.00°
With the nearest neighbours (Å) after each atom.
Space group C2/m (No. 12)
Unique sites:
Li 0.0000 0.0000 0.0000 [2 per cell]  6 Ac 3.22-3.59
Ac 0.0365 0.0000 0.3377 [4 per cell]  1 Li 3.22, 2 Ru 3.34, 4 Ac 3.36-3.56
Ac 0.1535 0.5000 0.8843 [4 per cell]  1 Ru 2.77
Ac 0.2149 0.5000 0.3434 [4 per cell]  1 Ru 2.91
Ru 0.1007 0.5000 0.5940 [4 per cell]  1 Ru 2.63, 2 Ac 2.77-2.91

***

23.
First-principles (PBE-GGA) data for Nb3ClF after structural relaxation, as listed in Alexandria via LeMat-Bulk.

Magnetic moment (μB per atom): 0.00
Calculated total energy (eV per atom): -6.307
Raw formation energy (eV per atom): 0.48

a = 4.3869 Å, b = 4.3869 Å, c = 4.3869 Å
α = 90.00°, β = 90.00°, γ = 90.00°
With the nearest neighbours (Å) after each atom.
Space group Pm-3m (No. 221)
Unique sites:
Nb 0.0000 0.0000 0.5000 [3 per cell]  2 F 2.19
Cl 0.5000 0.5000 0.5000 [1 per cell]  12 Nb 3.10
F 0.0000 0.0000 0.0000 [1 per cell]  6 Nb 2.19

***

24.
First-principles (PBE-GGA) data for HgPtS2 after structural relaxation, as listed in Alexandria via LeMat-Bulk.

Magnetic moment (μB per atom): 0.00
Calculated total energy (eV per atom): -3.485
Raw formation energy (eV per atom): 0.16

a = 8.2763 Å, b = 8.2763 Å, c = 5.7112 Å
α = 90.00°, β = 90.00°, γ = 90.00°
With the nearest neighbours (Å) after each atom.
Space group I4/mcm (No. 140)
Unique sites:
Hg 0.0000 0.0000 0.2500 [4 per cell]  2 Hg 2.86
Pt 0.0000 0.5000 0.2500 [4 per cell]  4 S 2.31
S 0.1553 0.3447 0.0000 [8 per cell]  2 Pt 2.31

***

25.
First-principles (PBE-GGA) data for Be2AlO after structural relaxation, as listed in Alexandria via LeMat-Bulk.

Magnetic moment (μB per atom): 0.28
Calculated total energy (eV per atom): -3.279
Raw formation energy (eV per atom): 0.76

a = 5.7404 Å, b = 5.7404 Å, c = 5.7404 Å
α = 90.00°, β = 90.00°, γ = 90.00°
With the nearest neighbours (Å) after each atom.
Space group Fm-3m (No. 225)
Unique sites:
Be 0.2500 0.2500 0.2500 [8 per cell]  4 O 2.49, 4 Al 2.49
Al 0.0000 0.0000 0.0000 [4 per cell]  8 Be 2.49
O 0.0000 0.0000 0.5000 [4 per cell]  8 Be 2.49